1.
KPPt2 (PBEsol, optimized geometry); ρ = 11.312 Mg/m³; total magnetization = 0.00 μB per atom; energy relative to the elements = 0.353 eV/atom
1.0
2.860 -4.919 0.000
2.860 4.919 0.000
-1.221 0.000 2.401
K P Pt
1 1 2
direct
0.000 0.000 0.000
0.500 0.500 0.000
0.000 0.500 0.000
0.500 0.000 0.000


2.
KPPt2 (PBEsol, optimized geometry); ρ = 7.392 Mg/m³; total magnetization = 0.00 μB per atom; energy relative to the elements = -0.331 eV/atom
1.0
-2.665 2.665 7.277
2.665 -2.665 7.277
2.665 2.665 -7.277
K P Pt
2 2 4
direct
0.375 0.625 0.750
0.625 0.375 0.250
0.125 0.875 0.250
0.875 0.125 0.750
0.000 0.000 0.000
0.000 0.000 0.500
0.000 0.500 0.000
0.500 0.000 0.500


3.
KPPt2 (PBEsol, optimized geometry); ρ = 10.991 Mg/m³; total magnetization = 0.00 μB per atom; energy relative to the elements = 0.585 eV/atom
1.0
0.000 3.264 3.264
3.264 0.000 3.264
3.264 3.264 0.000
K P Pt
1 1 2
direct
0.000 0.000 0.000
0.750 0.750 0.750
0.250 0.250 0.250
0.500 0.500 0.500


4.
KPPt (PBEsol, optimized geometry); ρ = 6.268 Mg/m³; total magnetization = 0.00 μB per atom; energy relative to the elements = -0.492 eV/atom
1.0
3.943 0.000 0.000
-1.971 3.415 0.000
0.000 0.000 5.217
K P Pt
1 1 1
direct
0.000 0.000 0.000
0.333 0.667 0.500
0.667 0.333 0.500


5.
KPPt2 (PBEsol, optimized geometry); ρ = 11.369 Mg/m³; total magnetization = 0.00 μB per atom; energy relative to the elements = 0.451 eV/atom
1.0
4.110 0.000 0.000
0.000 4.110 0.000
0.000 0.000 3.980
K P Pt
1 1 2
direct
0.000 0.000 0.000
0.500 0.500 0.000
0.000 0.500 0.500
0.500 0.000 0.500


6.
KPPt2 (PBEsol, optimized geometry); ρ = 11.273 Mg/m³; total magnetization = 0.00 μB per atom; energy relative to the elements = 0.489 eV/atom
1.0
-2.003 2.003 4.226
2.003 -2.003 4.226
2.003 2.003 -4.226
K P Pt
1 1 2
direct
0.000 0.000 0.000
0.750 0.250 0.500
0.250 0.750 0.500
0.500 0.500 0.000


7.
K2PPt (PBEsol, optimized geometry); ρ = 4.287 Mg/m³; total magnetization = 0.00 μB per atom; energy relative to the elements = -0.426 eV/atom
1.0
-2.176 2.854 4.743
2.176 -2.854 4.743
2.176 2.854 -4.743
K P Pt
2 1 1
direct
0.000 0.000 0.000
0.680 0.180 0.500
0.329 0.829 0.500
0.352 0.352 0.000


8.
K2PPt2 (PBEsol, optimized geometry); ρ = 7.383 Mg/m³; total magnetization = 0.00 μB per atom; energy relative to the elements = -0.340 eV/atom
1.0
-1.918 2.703 5.417
1.918 -2.703 5.417
1.918 2.703 -5.417
K P Pt
2 1 2
direct
0.209 0.209 0.000
0.791 0.791 0.000
0.500 0.000 0.500
0.249 0.500 0.749
0.751 0.500 0.251


9.
K2PPt (PBEsol, optimized geometry); ρ = 4.242 Mg/m³; total magnetization = 0.00 μB per atom; energy relative to the elements = -0.467 eV/atom
1.0
5.603 0.000 0.000
-2.801 4.852 0.000
0.000 0.000 4.380
K P Pt
2 1 1
direct
0.000 0.000 0.000
0.333 0.667 0.500
0.667 0.333 0.000
0.667 0.333 0.500


10.
KTcPPt2 (PBEsol, optimized geometry); ρ = 8.116 Mg/m³; total magnetization = 0.00 μB per atom; energy relative to the elements = 1.595 eV/atom
1.0
4.709 0.000 0.000
0.000 4.709 0.000
0.000 0.000 5.151
K Tc P Pt
1 1 1 2
direct
0.000 0.000 0.000
0.000 0.000 0.500
0.500 0.500 0.000
0.000 0.500 0.500
0.500 0.000 0.500


11.
KRb3P (PBEsol, optimized geometry); ρ = 1.811 Mg/m³; total magnetization = 0.20 μB per atom; energy relative to the elements = 0.021 eV/atom
1.0
6.689 0.000 0.000
0.000 6.689 0.000
0.000 0.000 6.689
K Rb P
1 3 1
direct
0.000 0.000 0.000
0.000 0.500 0.500
0.500 0.000 0.500
0.500 0.500 0.000
0.500 0.500 0.500


12.
KRe2P (PBEsol, optimized geometry); energy above the most stable polymorph in this dataset = 80 meV/atom; ρ = 11.022 Mg/m³; total magnetization = 0.00 μB per atom; energy relative to the elements = 0.579 eV/atom
1.0
1.428 0.825 9.431
-1.428 0.825 9.431
0.000 -1.649 9.431
K Re P
1 2 1
direct
0.000 0.000 0.000
0.229 0.229 0.229
0.771 0.771 0.771
0.500 0.500 0.500


Among the records above, which one has the highest energy relative to the elements? KTcPPt2


What is the total magnetization in the seventh record? 0.00 μB per atom